## MgMnN2F (PBE+U)

Data for a geometry-optimized MgMnN2F structure.

Summary:
The calculated volume comes out at 11.626 Å³/atom. The value obtained for the excess energy over the best structure of this formula in the dataset is 0.0 meV/atom. The uncorrected energy comes out at -28.3 eV for the cell shown.

Structure (POSCAR):
```
MgMnN2F
1.0
3.8280 0.0000 0.0000
0.0000 3.8280 0.0000
0.0000 0.0000 3.9668
Mg Mn N F
1 1 2 1
Direct
0.0000 0.0000 0.0000
0.5000 0.5000 0.5000
0.0000 0.5000 0.5000
0.5000 0.0000 0.5000
0.5000 0.5000 0.0000
```